LaPW, optimized geometry, DFT PBE-GGA; formation energy from the elements = 1.373 eV per atom; total moment = 1.18 μB/atom; energy relative to the lowest polymorph listed for this composition = 4.99 eV per formula unit; space group = F-43m
1.0
6.886 0.000 0.000
0.000 6.886 0.000
0.000 0.000 6.886
La P W
4 4 4
direct
0.000 0.000 0.000
0.000 0.500 0.500
0.500 0.000 0.500
0.500 0.500 0.000
0.250 0.250 0.250
0.250 0.750 0.750
0.750 0.250 0.750
0.750 0.750 0.250
0.250 0.250 0.750
0.250 0.750 0.250
0.750 0.250 0.250
0.750 0.750 0.750